A plane-wave DFT calculation with PBE was carried out for a geometry-optimized P2WAu structure.

Cell: 3.3365 4.4233 9.7199 Å, 90.00 90.00 90.00°
Atoms (fractional coordinates):
P 0.0000 0.0000 0.0000
P 0.0000 0.5000 0.3496
P 0.5000 0.0000 0.3496
P 0.5000 0.5000 0.0000
W 0.0000 0.5000 0.8133
W 0.5000 0.0000 0.8133
Au 0.0000 0.0000 0.5679
Au 0.5000 0.5000 0.5679

Values from the calculation:
**SG**: No. 35
**Offset from the most stable computed form**: 416 meV/atom
**Calculated formation energy**: 493 meV/atom